La6Co3Bi: optimized geometry, PBE.

As for the symmetry: P2_1/m. For the formation energy, the calculation gives -0.263 eV/atom. The density of states at the Fermi level is 0.7211 states/eV/atom.

Cell lengths 11.534, 4.175, 12.459 Å; angles 90.00, 105.55, 90.00 degrees
Fractional positions:
1 La 0.007 0.250 0.387
2 La 0.107 0.250 0.950
3 La 0.197 0.750 0.262
4 La 0.289 0.750 0.792
5 La 0.336 0.250 0.540
6 La 0.416 0.750 0.091
7 La 0.584 0.250 0.909
8 La 0.664 0.750 0.460
9 La 0.711 0.250 0.208
10 La 0.803 0.250 0.738
11 La 0.893 0.750 0.050
12 La 0.993 0.750 0.613
13 Co 0.021 0.250 0.165
14 Co 0.166 0.750 0.486
15 Co 0.348 0.250 0.926
16 Co 0.652 0.750 0.074
17 Co 0.834 0.250 0.514
18 Co 0.979 0.750 0.835
19 Bi 0.448 0.250 0.315
20 Bi 0.552 0.750 0.685

=====

La3CoBi: optimized geometry, PBE.

As for the symmetry: C2/m. For the formation energy, the calculation gives -0.490 eV/atom. The density of states at the Fermi level is 1.0591 states/eV/atom.

Cell lengths 8.556, 8.556, 5.015 Å; angles 90.03, 90.03, 54.36 degrees
Fractional positions:
1 La 0.000 0.500 0.000
2 La 0.199 0.801 0.000
3 La 0.377 0.377 0.501
4 La 0.500 0.000 0.000
5 La 0.623 0.623 0.499
6 La 0.801 0.199 0.000
7 Co 0.403 0.403 0.001
8 Co 0.597 0.597 0.999
9 Bi 0.143 0.143 0.500
10 Bi 0.857 0.857 0.500

=====

La3CoBi: optimized geometry, PBE.

As for the symmetry: P2_1/m. For the formation energy, the calculation gives -0.466 eV/atom. The density of states at the Fermi level is 1.5056 states/eV/atom.

Cell lengths 8.385, 4.722, 8.487 Å; angles 90.00, 118.63, 90.00 degrees
Fractional positions:
1 La 0.073 0.250 0.369
2 La 0.254 0.250 0.918
3 La 0.323 0.750 0.266
4 La 0.677 0.250 0.734
5 La 0.746 0.750 0.082
6 La 0.927 0.750 0.631
7 Co 0.022 0.250 0.063
8 Co 0.978 0.750 0.937
9 Bi 0.358 0.750 0.683
10 Bi 0.642 0.250 0.317

=====

LaMg2CoBi: optimized geometry, PBE.

As for the symmetry: P4/mmm. For the formation energy, the calculation gives -0.209 eV/atom. The density of states at the Fermi level is 0.4452 states/eV/atom.

Cell lengths 5.003, 5.003, 4.987 Å; angles 90.00, 90.00, 90.00 degrees
Fractional positions:
1 La 0.000 0.000 0.000
2 Mg 0.000 0.500 0.500
3 Mg 0.500 0.000 0.500
4 Co 0.000 0.000 0.500
5 Bi 0.500 0.500 0.000

=====

LaCoBi2Mo: optimized geometry, PBE.

As for the symmetry: P4/mmm. For the formation energy, the calculation gives 0.540 eV/atom. The density of states at the Fermi level is 0.7943 states/eV/atom.

Cell lengths 5.220, 5.220, 4.840 Å; angles 90.00, 90.00, 90.00 degrees
Fractional positions:
1 La 0.000 0.000 0.000
2 Co 0.000 0.000 0.500
3 Bi 0.000 0.500 0.500
4 Bi 0.500 0.000 0.500
5 Mo 0.500 0.500 0.000

=====

NaLa2CoBi: optimized geometry, PBE.

As for the symmetry: P4/mmm. For the formation energy, the calculation gives -0.277 eV/atom. The density of states at the Fermi level is 0.2691 states/eV/atom.

Cell lengths 5.223, 5.223, 5.251 Å; angles 90.00, 90.00, 90.00 degrees
Fractional positions:
1 Na 0.000 0.000 0.000
2 La 0.000 0.500 0.500
3 La 0.500 0.000 0.500
4 Co 0.000 0.000 0.500
5 Bi 0.500 0.500 0.000

=====

The following calculated volume values (in Å³/atom) correspond, in order, to the records above: 28.9 29.8 29.5 25.0 26.4 28.7.